# 1
Computed, not measured: RhCl3 after structural relaxation at the PBE level of DFT.

Cell lengths 11.7323, 11.7323, 11.7323 Å; angles 14.50, 14.50, 14.50 degrees
Closest atoms and distances in Å follow each position.
Atoms (fractional coordinates):
Rh (0.0000, 0.0000, 0.0000)  2 Cl 2.21
Cl (0.0633, 0.0633, 0.0633)  1 Rh 2.21
Cl (0.5000, 0.5000, 0.5000)  6 Cl 2.96
Cl (0.9367, 0.9367, 0.9367)  1 Rh 2.21

Values from the calculation:
**Total DFT energy (no corrections)**: -3.0167 eV per atom
**M_tot**: 0.002 μB per formula unit

=====

# 2
Computed, not measured: AcLa3N4 after structural relaxation at the PBE level of DFT.

Cell lengths 5.3630, 5.3630, 5.3630 Å; angles 90.00, 90.00, 90.00 degrees
Closest atoms and distances in Å follow each position.
Atoms (fractional coordinates):
Ac (0.0000, 0.0000, 0.0000)  6 N 2.68
La (0.0000, 0.5000, 0.5000)  6 N 2.68
La (0.5000, 0.0000, 0.5000)  6 N 2.68
La (0.5000, 0.5000, 0.0000)  6 N 2.68
N (0.0000, 0.0000, 0.5000)  2 Ac 2.68, 4 La 2.68
N (0.0000, 0.5000, 0.0000)  2 Ac 2.68, 4 La 2.68
N (0.5000, 0.0000, 0.0000)  2 Ac 2.68, 4 La 2.68
N (0.5000, 0.5000, 0.5000)  6 La 2.68

Values from the calculation:
**Excess energy over the best structure of this formula in the dataset**: 4 meV/atom
**M_tot**: 0.000 μB per formula unit